Record 1
Entry from the Alexandria database: a relaxed structure of KV2Se4 (PBE).

Values from the calculation:
- relative energy among the computed polymorphs (meV per atom) = 145.5

Cell lengths 6.642, 6.642, 13.109 Å; angles 90.00, 90.00, 146.83 degrees
Positions (direct):
K1 0.110 0.890 0.750
K2 0.890 0.110 0.250
V1 0.369 0.631 0.570
V2 0.369 0.631 0.930
V3 0.631 0.369 0.070
V4 0.631 0.369 0.430
Se1 0.000 0.000 0.000
Se2 0.000 0.000 0.500
Se3 0.261 0.739 0.097
Se4 0.261 0.739 0.403
Se5 0.409 0.591 0.750
Se6 0.591 0.409 0.250
Se7 0.739 0.261 0.597
Se8 0.739 0.261 0.903

---

Record 2
Entry from the Alexandria database: a relaxed structure of Pm2Pr4SmEr2 (PBE).

Values from the calculation:
- formation energy from the elements (eV per atom) = 0.0201

Cell lengths 8.165, 8.165, 8.127 Å; angles 107.54, 107.54, 36.86 degrees
Positions (direct):
Pm1 0.112 0.112 0.170
Pm2 0.888 0.888 0.830
Pr1 0.222 0.222 0.830
Pr2 0.446 0.446 0.170
Pr3 0.554 0.554 0.830
Pr4 0.778 0.778 0.170
Sm1 0.000 0.000 0.500
Er1 0.332 0.332 0.501
Er2 0.668 0.668 0.499

---

Record 3
Entry from the Alexandria database: a relaxed structure of CaHg3O4 (PBE).

Values from the calculation:
- E_tot (eV per atom) = -3.29

Cell lengths 5.794, 5.794, 5.794 Å; angles 90.00, 90.00, 90.00 degrees
Positions (direct):
Ca1 0.000 0.000 0.000
Hg1 0.000 0.000 0.500
Hg2 0.000 0.500 0.000
Hg3 0.500 0.000 0.000
O1 0.217 0.217 0.217
O2 0.217 0.783 0.783
O3 0.783 0.217 0.783
O4 0.783 0.783 0.217

---

Record 4
Entry from the Alexandria database: a relaxed structure of PuMgAgO6 (PBE).

Values from the calculation:
- E_tot (eV per atom) = -6.99

Cell lengths 5.355, 5.355, 9.296 Å; angles 90.00, 90.00, 120.00 degrees
Positions (direct):
Pu1 0.333 0.667 0.250
Pu2 0.667 0.333 0.750
Mg1 0.000 0.000 0.000
Mg2 0.000 0.000 0.500
Ag1 0.333 0.667 0.750
Ag2 0.667 0.333 0.250
O1 0.031 0.351 0.127
O2 0.031 0.680 0.373
O3 0.320 0.351 0.373
O4 0.320 0.969 0.127
O5 0.351 0.031 0.627
O6 0.351 0.320 0.873
O7 0.649 0.680 0.127
O8 0.649 0.969 0.373
O9 0.680 0.031 0.873
O10 0.680 0.649 0.627
O11 0.969 0.320 0.627
O12 0.969 0.649 0.873

---

Record 5
Entry from the Alexandria database: a relaxed structure of Ag5Sn2Au5 (PBE).

Values from the calculation:
- relative energy among the computed polymorphs (meV per atom) = 15.3
- formation energy from the elements (eV per atom) = -0.0373

Cell lengths 6.617, 6.617, 9.404 Å; angles 114.71, 114.71, 37.98 degrees
Positions (direct):
Ag1 0.000 0.000 0.000
Ag2 0.089 0.089 0.750
Ag3 0.164 0.164 0.500
Ag4 0.836 0.836 0.500
Ag5 0.911 0.911 0.250
Sn1 0.416 0.416 0.751
Sn2 0.584 0.584 0.249
Au1 0.248 0.248 0.252
Au2 0.334 0.334 0.008
Au3 0.500 0.500 0.500
Au4 0.666 0.666 0.992
Au5 0.752 0.752 0.748

---

Record 6
Entry from the Alexandria database: a relaxed structure of AcTb7Nd4 (PBE).

Values from the calculation:
- relative energy among the computed polymorphs (meV per atom) = 259.4
- formation energy from the elements (eV per atom) = 0.2812

Cell lengths 6.903, 6.903, 12.817 Å; angles 115.60, 115.60, 52.70 degrees
Positions (direct):
Ac1 0.000 0.000 0.000
Tb1 0.130 0.130 0.497
Tb2 0.278 0.278 0.335
Tb3 0.295 0.295 0.079
Tb4 0.500 0.500 0.000
Tb5 0.705 0.705 0.921
Tb6 0.722 0.722 0.665
Tb7 0.870 0.870 0.503
Nd1 0.145 0.145 0.776
Nd2 0.432 0.432 0.678
Nd3 0.568 0.568 0.322
Nd4 0.855 0.855 0.224

---

Record 7
Entry from the Alexandria database: a relaxed structure of Dy3Th2Mg2 (PBE).

Values from the calculation:
- formation energy from the elements (eV per atom) = 0.1081

Cell lengths 5.354, 23.354, 3.416 Å; angles 90.00, 90.00, 90.00 degrees
Positions (direct):
Dy1 0.000 0.000 0.000
Dy2 0.000 0.143 0.000
Dy3 0.000 0.857 0.000
Dy4 0.500 0.357 0.000
Dy5 0.500 0.500 0.000
Dy6 0.500 0.643 0.000
Th1 0.000 0.282 0.500
Th2 0.000 0.718 0.500
Th3 0.500 0.218 0.500
Th4 0.500 0.782 0.500
Mg1 0.000 0.431 0.500
Mg2 0.000 0.569 0.500
Mg3 0.500 0.069 0.500
Mg4 0.500 0.931 0.500

---

Record 8
Entry from the Alexandria database: a relaxed structure of Hg2Sb (PBE).

Values from the calculation:
- relative energy among the computed polymorphs (meV per atom) = 6.7

Cell lengths 7.159, 7.159, 7.159 Å; angles 90.00, 90.00, 90.00 degrees
Positions (direct):
Hg1 0.129 0.129 0.129
Hg2 0.129 0.371 0.629
Hg3 0.371 0.629 0.129
Hg4 0.371 0.871 0.629
Hg5 0.629 0.129 0.371
Hg6 0.629 0.371 0.871
Hg7 0.871 0.629 0.371
Hg8 0.871 0.871 0.871
Sb1 0.000 0.000 0.500
Sb2 0.000 0.500 0.000
Sb3 0.500 0.000 0.000
Sb4 0.500 0.500 0.500

---

Record 9
Entry from the Alexandria database: a relaxed structure of Cd4PbBr (PBE).

Values from the calculation:
- E_tot (eV per atom) = -1.53

Cell lengths 6.064, 6.064, 6.064 Å; angles 60.00, 60.00, 60.00 degrees
Positions (direct):
Cd1 0.125 0.125 0.125
Cd2 0.125 0.125 0.625
Cd3 0.125 0.625 0.125
Cd4 0.625 0.125 0.125
Pb1 0.750 0.750 0.750
Br1 0.500 0.500 0.500

---

Record 10
Entry from the Alexandria database: a relaxed structure of IrPb (PBE).

Values from the calculation:
- formation energy from the elements (eV per atom) = 0.5070

Cell lengths 2.991, 5.006, 11.155 Å; angles 90.00, 90.00, 90.00 degrees
Positions (direct):
Ir1 0.000 0.250 0.152
Ir2 0.000 0.750 0.848
Ir3 0.500 0.250 0.348
Ir4 0.500 0.750 0.652
Pb1 0.000 0.250 0.596
Pb2 0.000 0.750 0.404
Pb3 0.500 0.250 0.904
Pb4 0.500 0.750 0.096

---

Record 11
Entry from the Alexandria database: a relaxed structure of Ca5PmTl3 (PBE).

Values from the calculation:
- formation energy from the elements (eV per atom) = -0.3041

Cell lengths 9.559, 9.559, 7.214 Å; angles 90.00, 90.00, 120.00 degrees
Positions (direct):
Ca1 0.000 0.341 0.250
Ca2 0.000 0.659 0.750
Ca3 0.333 0.667 0.000
Ca4 0.333 0.667 0.500
Ca5 0.341 0.000 0.250
Ca6 0.341 0.341 0.750
Ca7 0.659 0.000 0.750
Ca8 0.659 0.659 0.250
Ca9 0.667 0.333 0.000
Ca10 0.667 0.333 0.500
Pm1 0.000 0.000 0.000
Pm2 0.000 0.000 0.500
Tl1 0.000 0.321 0.750
Tl2 0.000 0.679 0.250
Tl3 0.321 0.000 0.750
Tl4 0.321 0.321 0.250
Tl5 0.679 0.000 0.250
Tl6 0.679 0.679 0.750

---

Record 12
Entry from the Alexandria database: a relaxed structure of Ac2Si3SnAu4 (PBE).

Values from the calculation:
- E_tot (eV per atom) = -4.75

Cell lengths 4.525, 4.525, 10.846 Å; angles 90.00, 90.00, 90.00 degrees
Positions (direct):
Ac1 0.000 0.500 0.237
Ac2 0.500 0.000 0.763
Si1 0.000 0.500 0.877
Si2 0.500 0.000 0.123
Si3 0.500 0.500 0.500
Sn1 0.000 0.000 0.500
Au1 0.000 0.000 0.000
Au2 0.000 0.500 0.648
Au3 0.500 0.000 0.352
Au4 0.500 0.500 0.000

---

Record 13
Entry from the Alexandria database: a relaxed structure of CuAgMo2 (PBE).

Values from the calculation:
- relative energy among the computed polymorphs (meV per atom) = 180.5
- formation energy from the elements (eV per atom) = 0.4123

Cell lengths 5.226, 9.054, 2.631 Å; angles 90.00, 99.32, 90.00 degrees
Positions (direct):
Cu1 0.000 0.000 0.000
Cu2 0.500 0.500 0.000
Ag1 0.000 0.500 0.000
Ag2 0.500 0.000 0.000
Mo1 0.250 0.250 0.500
Mo2 0.250 0.750 0.500
Mo3 0.750 0.250 0.500
Mo4 0.750 0.750 0.500

---

Record 14
Entry from the Alexandria database: a relaxed structure of BaZn2PPt (PBE).

Values from the calculation:
- formation energy from the elements (eV per atom) = -0.3887

Cell lengths 4.860, 4.860, 5.025 Å; angles 90.00, 90.00, 90.00 degrees
Positions (direct):
Ba1 0.000 0.000 0.000
Zn1 0.000 0.500 0.500
Zn2 0.500 0.000 0.500
P1 0.500 0.500 0.000
Pt1 0.500 0.500 0.500

---

Record 15
Entry from the Alexandria database: a relaxed structure of Np3Ni2As3 (PBE).

Values from the calculation:
- formation energy from the elements (eV per atom) = -0.5069

Cell lengths 5.662, 5.662, 13.968 Å; angles 90.00, 90.00, 137.79 degrees
Positions (direct):
Np1 0.065 0.935 0.606
Np2 0.065 0.935 0.894
Np3 0.363 0.637 0.750
Np4 0.637 0.363 0.250
Np5 0.935 0.065 0.106
Np6 0.935 0.065 0.394
Ni1 0.229 0.771 0.100
Ni2 0.229 0.771 0.400
Ni3 0.771 0.229 0.600
Ni4 0.771 0.229 0.900
As1 0.350 0.650 0.250
As2 0.364 0.636 0.546
As3 0.364 0.636 0.954
As4 0.636 0.364 0.046
As5 0.636 0.364 0.454
As6 0.650 0.350 0.750

---

Record 16
Entry from the Alexandria database: a relaxed structure of ReSbAu2 (PBE).

Values from the calculation:
- E_tot (eV per atom) = -5.19

Cell lengths 4.061, 4.061, 4.405 Å; angles 90.00, 90.00, 90.00 degrees
Positions (direct):
Re1 0.000 0.000 0.000
Sb1 0.500 0.500 0.000
Au1 0.000 0.500 0.500
Au2 0.500 0.000 0.500

---

Record 17
Entry from the Alexandria database: a relaxed structure of LaU4P5 (PBE).

Values from the calculation:
- formation energy from the elements (eV per atom) = -1.0524

Cell lengths 6.977, 6.977, 9.798 Å; angles 118.38, 118.38, 33.12 degrees
Positions (direct):
La1 0.000 0.000 0.000
U1 0.203 0.203 0.795
U2 0.403 0.403 0.600
U3 0.597 0.597 0.400
U4 0.797 0.797 0.205
P1 0.000 0.000 0.500
P2 0.203 0.203 0.311
P3 0.391 0.391 0.106
P4 0.609 0.609 0.894
P5 0.797 0.797 0.689

---

Record 18
Entry from the Alexandria database: a relaxed structure of ReRh4W (PBE).

Values from the calculation:
- formation energy from the elements (eV per atom) = 0.3565

Cell lengths 5.029, 5.029, 5.029 Å; angles 60.00, 60.00, 60.00 degrees
Positions (direct):
Re1 0.000 0.000 0.000
Rh1 0.124 0.625 0.625
Rh2 0.625 0.124 0.625
Rh3 0.625 0.625 0.124
Rh4 0.625 0.625 0.625
W1 0.250 0.250 0.250

---

Record 19
Entry from the Alexandria database: a relaxed structure of ReAg2W (PBE).

Values from the calculation:
- relative energy among the computed polymorphs (meV per atom) = 330.6
- formation energy from the elements (eV per atom) = 0.6874

Cell lengths 3.775, 3.775, 4.583 Å; angles 90.00, 90.00, 90.00 degrees
Positions (direct):
Re1 0.000 0.000 0.000
Ag1 0.000 0.500 0.500
Ag2 0.500 0.000 0.500
W1 0.500 0.500 0.000

---

Record 20
Entry from the Alexandria database: a relaxed structure of Pm3PrDy6Th2 (PBE).

Values from the calculation:
- formation energy from the elements (eV per atom) = 0.0263

Cell lengths 6.240, 6.240, 11.783 Å; angles 95.08, 95.08, 119.97 degrees
Positions (direct):
Pm1 0.000 0.000 0.000
Pm2 0.334 0.666 0.000
Pm3 0.666 0.334 0.000
Pr1 0.500 0.500 0.500
Dy1 0.079 0.417 0.254
Dy2 0.244 0.244 0.746
Dy3 0.417 0.079 0.254
Dy4 0.583 0.921 0.746
Dy5 0.756 0.756 0.254
Dy6 0.921 0.583 0.746
Th1 0.167 0.833 0.500
Th2 0.833 0.167 0.500

---

Record 21
Entry from the Alexandria database: a relaxed structure of Cr2CI (PBE).

Values from the calculation:
- relative energy among the computed polymorphs (meV per atom) = 972.3

Cell lengths 5.976, 5.976, 5.976 Å; angles 90.00, 90.00, 90.00 degrees
Positions (direct):
Cr1 0.250 0.250 0.250
Cr2 0.250 0.250 0.750
Cr3 0.250 0.750 0.250
Cr4 0.250 0.750 0.750
Cr5 0.750 0.250 0.250
Cr6 0.750 0.250 0.750
Cr7 0.750 0.750 0.250
Cr8 0.750 0.750 0.750
C1 0.000 0.000 0.000
C2 0.000 0.500 0.500
C3 0.500 0.000 0.500
C4 0.500 0.500 0.000
I1 0.000 0.000 0.500
I2 0.000 0.500 0.000
I3 0.500 0.000 0.000
I4 0.500 0.500 0.500

---

Record 22
Entry from the Alexandria database: a relaxed structure of SnSF2 (PBE).

Values from the calculation:
- relative energy among the computed polymorphs (meV per atom) = 0.0

Cell lengths 3.976, 3.976, 16.018 Å; angles 90.00, 90.00, 90.00 degrees
Positions (direct):
Sn1 0.000 0.000 0.000
Sn2 0.000 0.500 0.250
Sn3 0.500 0.000 0.750
Sn4 0.500 0.500 0.500
S1 0.000 0.000 0.500
S2 0.000 0.500 0.750
S3 0.500 0.000 0.250
S4 0.500 0.500 0.000
F1 0.196 0.250 0.125
F2 0.250 0.696 0.375
F3 0.250 0.804 0.875
F4 0.304 0.250 0.625
F5 0.696 0.750 0.625
F6 0.750 0.196 0.875
F7 0.750 0.304 0.375
F8 0.804 0.750 0.125

---

Record 23
Entry from the Alexandria database: a relaxed structure of CaHo2In (PBE).

Values from the calculation:
- relative energy among the computed polymorphs (meV per atom) = 43.5
- formation energy from the elements (eV per atom) = -0.1549

Cell lengths 3.641, 3.641, 9.502 Å; angles 90.00, 90.00, 90.00 degrees
Positions (direct):
Ca1 0.000 0.000 0.000
Ho1 0.500 0.500 0.294
Ho2 0.500 0.500 0.706
In1 0.000 0.000 0.500